VASP calculation (PBE) on crystalline Tb4Sn2N at its relaxed geometry.

Values from the calculation:
The density of states at the Fermi level is 5.00 states/eV/cell. The uncorrected formation energy is -0.97 eV/atom. For the total energy, the calculation gives -5.945 eV per atom.

a b c (Å): 8.6968 8.6968 8.6968
angles (deg): 148.41 148.41 45.28
With the nearest neighbours (Å) after each atom.
Positions (direct):
1 Tb 0.0000 0.5000 0.5000  2 N 2.37
2 Tb 0.1595 0.1595 0.0000  1 N 2.56
3 Tb 0.5000 0.0000 0.5000  2 N 2.37
4 Tb 0.8405 0.8405 0.0000  1 N 2.56
5 Sn 0.3579 0.3579 0.0000  9 Tb 3.18-3.36
6 Sn 0.6421 0.6421 0.0000  9 Tb 3.18-3.36
7 N 0.0000 0.0000 0.0000  6 Tb 2.37-2.56